(1)
Density functional theory data (PBEsol) for a relaxed Al2ZnAg crystal.

Unit cell a=2.7191 b=4.7716 c=9.9361 alpha=90.00 beta=90.00 gamma=90.00
Last column: nearest neighbours and their distance in Å.
Space group Imm2 (No. 44)
Unique sites:
Al 0.0000 0.0000 0.0000 (multiplicity 2)  4 Al 2.72-2.95, 4 Ag 2.75, 2 Zn 2.80
Al 0.0000 0.5000 0.2367 (multiplicity 2)  4 Al 2.72-2.95, 4 Zn 2.75, 2 Ag 2.81
Zn 0.0000 0.5000 0.7463 (multiplicity 2)  2 Zn 2.72, 6 Al 2.75-2.80, 2 Ag 2.77
Ag 0.0000 0.0000 0.4892 (multiplicity 2)  2 Ag 2.72, 6 Al 2.75-2.81, 2 Zn 2.77

Output
electronic total energy: -0.1187 Ha/atom
density of states at the Fermi level: 1.1 states/eV/f.u.

(2)
Density functional theory data (PBEsol) for a relaxed AlZn2Ag crystal.

Unit cell a=8.9290 b=2.9018 c=4.7420 alpha=90.00 beta=98.83 gamma=90.00
Last column: nearest neighbours and their distance in Å.
Space group Cm (No. 8)
Unique sites:
Al 0.0000 0.0000 0.0000 (multiplicity 2)  3 Ag 2.68-2.76, 7 Zn 2.71-2.81, 2 Al 2.90
Zn 0.0008 0.5000 0.5083 (multiplicity 2)  5 Zn 2.64-2.90, 3 Ag 2.70-2.81, 4 Al 2.75-2.81
Zn 0.2510 0.0000 0.7426 (multiplicity 2)  5 Zn 2.64-2.90, 3 Al 2.71-2.78, 4 Ag 2.77-2.79
Ag 0.2486 0.5000 0.2448 (multiplicity 2)  3 Al 2.68-2.76, 7 Zn 2.70-2.81, 2 Ag 2.90

Output
electronic total energy: -0.0975 Ha/atom
density of states at the Fermi level: 1.4 states/eV/f.u.

(3)
Density functional theory data (PBEsol) for a relaxed AlZnAg2 crystal.

Unit cell a=4.9934 b=2.8561 c=8.9160 alpha=90.00 beta=100.02 gamma=90.00
Last column: nearest neighbours and their distance in Å.
Space group C2/m (No. 12)
Unique sites:
Al 0.0000 0.0000 0.0000 (multiplicity 2)  6 Ag 2.75-2.76, 6 Al 2.86-2.88
Zn 0.0000 0.5000 0.5000 (multiplicity 2)  6 Ag 2.72-2.75, 6 Zn 2.86-2.88
Ag 0.2479 0.5000 0.2513 (multiplicity 4)  3 Zn 2.72-2.75, 3 Al 2.75-2.76, 6 Ag 2.86-2.88

Output
electronic total energy: -0.1151 Ha/atom
density of states at the Fermi level: 1.3 states/eV/f.u.

(4)
Density functional theory data (PBEsol) for a relaxed AlZnAg2 crystal.

Unit cell a=2.8814 b=2.8814 c=26.3965 alpha=90.00 beta=90.00 gamma=120.00
Last column: nearest neighbours and their distance in Å.
Space group R3m (No. 160, hexagonal axes)
Unique sites:
Al 0.0000 0.0000 0.0000 (multiplicity 3)  3 Zn 2.72, 3 Ag 2.73, 6 Al 2.88
Zn 0.0000 0.0000 0.2517 (multiplicity 3)  3 Ag 2.71, 3 Al 2.72, 6 Zn 2.88
Ag 0.0000 0.0000 0.5040 (multiplicity 3)  3 Zn 2.71, 9 Ag 2.87-2.88
Ag 0.0000 0.0000 0.7486 (multiplicity 3)  3 Al 2.73, 9 Ag 2.87-2.88

Output
electronic total energy: -0.1141 Ha/atom
density of states at the Fermi level: 1.4 states/eV/f.u.

Calculated volume for the records above, in order: 16.1; 15.2; 15.7; 15.8 Å³/atom